The following is a DFT calculation (GGA-PBE) of a geometry-optimized Os2Au structure.

Values from the calculation:
The value obtained for the volume is 56.8 Å³/cell. For the energy above the lowest structure with this stoichiometry, the calculation gives 1.492 eV/atom. The calculation puts the formation energy at 5.49 eV/f.u. For the energy, the calculation gives -20.250 eV/f.u. The calculation puts the spin magnetization at 0.000 μB/atom. For the calculated density, the calculation gives 16.871 g cm⁻³. The density of states at the Fermi level is 3.67 states/eV per cell.

Geometry as CIF:
```
data_Os2Au
_chemical_formula_sum 'Os2 Au1'
_cell_length_a 4.635
_cell_length_b 4.635
_cell_length_c 2.646
_cell_angle_alpha 90.00
_cell_angle_beta 90.00
_cell_angle_gamma 90.00
_symmetry_space_group_name_H-M 'P 1'
_symmetry_Int_Tables_number 1
_symmetry_space_group_name_Hall 'P 1'
loop_
_atom_site_label
_atom_site_type_symbol
_atom_site_fract_x
_atom_site_fract_y
_atom_site_fract_z
Au1 Au 0.000 0.000 0.000
Os1 Os 0.000 0.500 0.500
Os2 Os 0.500 0.000 0.500
```

=====

The following is a DFT calculation (GGA-PBE) of a geometry-optimized OsAu3 structure.

Values from the calculation:
The value obtained for the volume is 68.4 Å³/cell. For the energy above the lowest structure with this stoichiometry, the calculation gives 0.125 eV/atom. The calculation puts the formation energy at 2.00 eV/f.u. For the energy, the calculation gives -19.067 eV/f.u. The calculation puts the spin magnetization at 0.000 μB/atom. For the calculated density, the calculation gives 18.963 g cm⁻³. The density of states at the Fermi level is 2.53 states/eV per cell.

Geometry as CIF:
```
data_OsAu3
_chemical_formula_sum 'Os1 Au3'
_cell_length_a 5.683
_cell_length_b 5.683
_cell_length_c 5.683
_cell_angle_alpha 152.07
_cell_angle_beta 126.70
_cell_angle_gamma 61.24
_symmetry_space_group_name_H-M 'P 1'
_symmetry_Int_Tables_number 1
_symmetry_space_group_name_Hall 'P 1'
loop_
_atom_site_label
_atom_site_type_symbol
_atom_site_fract_x
_atom_site_fract_y
_atom_site_fract_z
Au1 Au 0.983 0.988 0.995
Au2 Au 0.096 0.750 0.346
Au3 Au 0.508 0.512 0.995
Os1 Os 0.580 0.250 0.330
```

=====

The following is a DFT calculation (GGA-PBE) of a geometry-optimized Os2Au structure.

Values from the calculation:
The value obtained for the volume is 186.2 Å³/cell. For the energy above the lowest structure with this stoichiometry, the calculation gives 0.280 eV/atom. The calculation puts the formation energy at 1.85 eV/f.u. For the energy, the calculation gives -23.887 eV/f.u. The calculation puts the spin magnetization at 0.000 μB/atom. For the calculated density, the calculation gives 20.603 g cm⁻³. The density of states at the Fermi level is 9.69 states/eV per cell.

Geometry as CIF:
```
data_Os2Au
_chemical_formula_sum 'Os8 Au4'
_cell_length_a 5.557
_cell_length_b 3.950
_cell_length_c 8.480
_cell_angle_alpha 90.00
_cell_angle_beta 90.00
_cell_angle_gamma 90.00
_symmetry_space_group_name_H-M 'P 1'
_symmetry_Int_Tables_number 1
_symmetry_space_group_name_Hall 'P 1'
loop_
_atom_site_label
_atom_site_type_symbol
_atom_site_fract_x
_atom_site_fract_y
_atom_site_fract_z
Os1 Os 0.118 0.250 0.271
Os2 Os 0.106 0.250 0.582
Os3 Os 0.394 0.750 0.082
Os4 Os 0.382 0.750 0.771
Os5 Os 0.618 0.250 0.229
Os6 Os 0.606 0.250 0.918
Os7 Os 0.894 0.750 0.418
Os8 Os 0.882 0.750 0.729
Au1 Au 0.115 0.250 0.911
Au2 Au 0.385 0.750 0.411
Au3 Au 0.615 0.250 0.589
Au4 Au 0.885 0.750 0.089
```

=====

The following is a DFT calculation (GGA-PBE) of a geometry-optimized OsAu3 structure.

Values from the calculation:
The value obtained for the volume is 69.4 Å³/cell. For the energy above the lowest structure with this stoichiometry, the calculation gives 0.323 eV/atom. The calculation puts the formation energy at 2.79 eV/f.u. For the energy, the calculation gives -18.272 eV/f.u. The calculation puts the spin magnetization at 0.558 μB/atom. For the calculated density, the calculation gives 18.683 g cm⁻³. The density of states at the Fermi level is 2.86 states/eV per cell.

Geometry as CIF:
```
data_OsAu3
_chemical_formula_sum 'Os1 Au3'
_cell_length_a 4.613
_cell_length_b 4.613
_cell_length_c 4.613
_cell_angle_alpha 60.00
_cell_angle_beta 60.00
_cell_angle_gamma 60.00
_symmetry_space_group_name_H-M 'P 1'
_symmetry_Int_Tables_number 1
_symmetry_space_group_name_Hall 'P 1'
loop_
_atom_site_label
_atom_site_type_symbol
_atom_site_fract_x
_atom_site_fract_y
_atom_site_fract_z
Au1 Au 0.000 0.000 0.000
Au2 Au 0.500 0.500 0.500
Au3 Au 0.750 0.750 0.750
Os1 Os 0.250 0.250 0.250
```

=====

The following is a DFT calculation (GGA-PBE) of a geometry-optimized Os4Au structure.

Values from the calculation:
The value obtained for the volume is 74.7 Å³/cell. For the energy above the lowest structure with this stoichiometry, the calculation gives 0.000 eV/atom. The calculation puts the formation energy at 2.25 eV/f.u. For the energy, the calculation gives -45.942 eV/f.u. The calculation puts the spin magnetization at 0.000 μB/atom. For the calculated density, the calculation gives 21.303 g cm⁻³. The density of states at the Fermi level is 4.18 states/eV per cell.

Geometry as CIF:
```
data_Os4Au
_chemical_formula_sum 'Os4 Au1'
_cell_length_a 4.790
_cell_length_b 4.790
_cell_length_c 4.790
_cell_angle_alpha 99.54
_cell_angle_beta 99.54
_cell_angle_gamma 131.95
_symmetry_space_group_name_H-M 'P 1'
_symmetry_Int_Tables_number 1
_symmetry_space_group_name_Hall 'P 1'
loop_
_atom_site_label
_atom_site_type_symbol
_atom_site_fract_x
_atom_site_fract_y
_atom_site_fract_z
Os1 Os 0.804 0.585 0.389
Os2 Os 0.196 0.415 0.611
Os3 Os 0.585 0.196 0.782
Os4 Os 0.415 0.804 0.218
Au1 Au 0.000 0.000 0.000
```

=====

The following is a DFT calculation (GGA-PBE) of a geometry-optimized OsAu4 structure.

Values from the calculation:
The value obtained for the volume is 86.7 Å³/cell. For the energy above the lowest structure with this stoichiometry, the calculation gives 0.000 eV/atom. The calculation puts the formation energy at 2.62 eV/f.u. For the energy, the calculation gives -21.724 eV/f.u. The calculation puts the spin magnetization at 0.346 μB/atom. For the calculated density, the calculation gives 18.733 g cm⁻³. The density of states at the Fermi level is 4.00 states/eV per cell.

Geometry as CIF:
```
data_OsAu4
_chemical_formula_sum 'Os1 Au4'
_cell_length_a 5.016
_cell_length_b 5.016
_cell_length_c 5.016
_cell_angle_alpha 99.91
_cell_angle_beta 99.91
_cell_angle_gamma 130.99
_symmetry_space_group_name_H-M 'P 1'
_symmetry_Int_Tables_number 1
_symmetry_space_group_name_Hall 'P 1'
loop_
_atom_site_label
_atom_site_type_symbol
_atom_site_fract_x
_atom_site_fract_y
_atom_site_fract_z
Os1 Os 0.000 0.000 0.000
Au1 Au 0.796 0.605 0.401
Au2 Au 0.204 0.395 0.599
Au3 Au 0.605 0.204 0.808
Au4 Au 0.395 0.796 0.192
```

=====

The following is a DFT calculation (GGA-PBE) of a geometry-optimized Os2Au structure.

Values from the calculation:
The value obtained for the volume is 93.4 Å³/cell. For the energy above the lowest structure with this stoichiometry, the calculation gives 0.038 eV/atom. The calculation puts the formation energy at 1.13 eV/f.u. For the energy, the calculation gives -24.611 eV/f.u. The calculation puts the spin magnetization at 0.000 μB/atom. For the calculated density, the calculation gives 20.527 g cm⁻³. The density of states at the Fermi level is 4.49 states/eV per cell.

Geometry as CIF:
```
data_Os2Au
_chemical_formula_sum 'Os4 Au2'
_cell_length_a 5.311
_cell_length_b 5.311
_cell_length_c 6.746
_cell_angle_alpha 76.43
_cell_angle_beta 76.43
_cell_angle_gamma 30.41
_symmetry_space_group_name_H-M 'P 1'
_symmetry_Int_Tables_number 1
_symmetry_space_group_name_Hall 'P 1'
loop_
_atom_site_label
_atom_site_type_symbol
_atom_site_fract_x
_atom_site_fract_y
_atom_site_fract_z
Os1 Os 0.030 0.030 0.671
Os2 Os 0.970 0.970 0.329
Os3 Os 0.689 0.689 0.376
Os4 Os 0.311 0.311 0.624
Au1 Au 0.637 0.637 0.971
Au2 Au 0.363 0.363 0.029
```

=====

The following is a DFT calculation (GGA-PBE) of a geometry-optimized Os3Au structure.

Values from the calculation:
The value obtained for the volume is 60.5 Å³/cell. For the energy above the lowest structure with this stoichiometry, the calculation gives 0.172 eV/atom. The calculation puts the formation energy at 1.97 eV/f.u. For the energy, the calculation gives -34.999 eV/f.u. The calculation puts the spin magnetization at 0.000 μB/atom. For the calculated density, the calculation gives 21.079 g cm⁻³. The density of states at the Fermi level is 3.45 states/eV per cell.

Geometry as CIF:
```
data_Os3Au
_chemical_formula_sum 'Os3 Au1'
_cell_length_a 4.803
_cell_length_b 4.803
_cell_length_c 11.082
_cell_angle_alpha 149.93
_cell_angle_beta 149.93
_cell_angle_gamma 33.60
_symmetry_space_group_name_H-M 'P 1'
_symmetry_Int_Tables_number 1
_symmetry_space_group_name_Hall 'P 1'
loop_
_atom_site_label
_atom_site_type_symbol
_atom_site_fract_x
_atom_site_fract_y
_atom_site_fract_z
Au1 Au 0.000 0.000 0.000
Os1 Os 0.028 0.028 0.269
Os2 Os 0.000 0.000 0.500
Os3 Os 0.972 0.972 0.731
```

=====

The following is a DFT calculation (GGA-PBE) of a geometry-optimized OsAu4 structure.

Values from the calculation:
The value obtained for the volume is 98.4 Å³/cell. For the energy above the lowest structure with this stoichiometry, the calculation gives 0.389 eV/atom. The calculation puts the formation energy at 4.56 eV/f.u. For the energy, the calculation gives -19.777 eV/f.u. The calculation puts the spin magnetization at 0.527 μB/atom. For the calculated density, the calculation gives 16.509 g cm⁻³. The density of states at the Fermi level is 4.17 states/eV per cell.

Geometry as CIF:
```
data_OsAu4
_chemical_formula_sum 'Os1 Au4'
_cell_length_a 7.568
_cell_length_b 7.568
_cell_length_c 7.568
_cell_angle_alpha 151.52
_cell_angle_beta 151.52
_cell_angle_gamma 40.72
_symmetry_space_group_name_H-M 'P 1'
_symmetry_Int_Tables_number 1
_symmetry_space_group_name_Hall 'P 1'
loop_
_atom_site_label
_atom_site_type_symbol
_atom_site_fract_x
_atom_site_fract_y
_atom_site_fract_z
Os1 Os 0.000 0.000 0.000
Au1 Au 0.750 0.250 0.500
Au2 Au 0.406 0.406 0.000
Au3 Au 0.594 0.594 0.000
Au4 Au 0.250 0.750 0.500
```

=====

The following is a DFT calculation (GGA-PBE) of a geometry-optimized Os5Au3 structure.

Values from the calculation:
The value obtained for the volume is 273.0 Å³/cell. The calculation puts the formation energy at 5.46 eV/f.u. For the energy, the calculation gives -60.517 eV/f.u. The calculation puts the spin magnetization at 0.000 μB/atom. For the calculated density, the calculation gives 18.759 g cm⁻³. The density of states at the Fermi level is 10.73 states/eV per cell.

Geometry as CIF:
```
data_Os5Au3
_chemical_formula_sum 'Os10 Au6'
_cell_length_a 8.039
_cell_length_b 7.872
_cell_length_c 7.834
_cell_angle_alpha 96.82
_cell_angle_beta 91.96
_cell_angle_gamma 145.23
_symmetry_space_group_name_H-M 'P 1'
_symmetry_Int_Tables_number 1
_symmetry_space_group_name_Hall 'P 1'
loop_
_atom_site_label
_atom_site_type_symbol
_atom_site_fract_x
_atom_site_fract_y
_atom_site_fract_z
Os1 Os 0.061 0.769 0.809
Os2 Os 0.281 0.034 0.360
Os3 Os 0.252 0.703 0.453
Os4 Os 0.223 0.581 0.754
Os5 Os 0.434 0.240 0.710
Os6 Os 0.567 0.760 0.291
Os7 Os 0.778 0.420 0.247
Os8 Os 0.749 0.297 0.548
Os9 Os 0.720 0.966 0.640
Os10 Os 0.940 0.232 0.192
Au1 Au 0.203 0.298 0.488
Au2 Au 0.313 0.249 0.082
Au3 Au 0.295 0.785 0.095
Au4 Au 0.706 0.216 0.905
Au5 Au 0.688 0.752 0.919
Au6 Au 0.798 0.703 0.513
```

=====

The following is a DFT calculation (GGA-PBE) of a geometry-optimized P2OsAu structure.

Values from the calculation:
The value obtained for the volume is 71.7 Å³/cell. For the energy above the lowest structure with this stoichiometry, the calculation gives 0.429 eV/atom. The calculation puts the formation energy at 1.52 eV/f.u. For the energy, the calculation gives -23.804 eV/f.u. The calculation puts the spin magnetization at 0.105 μB/atom. For the calculated density, the calculation gives 10.398 g cm⁻³. The density of states at the Fermi level is 3.96 states/eV per cell.

Geometry as CIF:
```
data_P2OsAu
_chemical_formula_sum 'P2 Os1 Au1'
_cell_length_a 9.654
_cell_length_b 9.654
_cell_length_c 9.654
_cell_angle_alpha 17.59
_cell_angle_beta 17.59
_cell_angle_gamma 17.59
_symmetry_space_group_name_H-M 'P 1'
_symmetry_Int_Tables_number 1
_symmetry_space_group_name_Hall 'P 1'
loop_
_atom_site_label
_atom_site_type_symbol
_atom_site_fract_x
_atom_site_fract_y
_atom_site_fract_z
Au1 Au 0.497 0.497 0.497
Os1 Os 0.746 0.746 0.746
P1 P 0.023 0.023 0.023
P2 P 0.234 0.234 0.234
```

=====

The following is a DFT calculation (GGA-PBE) of a geometry-optimized POsAu2 structure.

Values from the calculation:
The value obtained for the volume is 64.4 Å³/cell. The calculation puts the formation energy at 2.81 eV/f.u. For the energy, the calculation gives -20.382 eV/f.u. The calculation puts the spin magnetization at 0.000 μB/atom. For the calculated density, the calculation gives 15.863 g cm⁻³. The density of states at the Fermi level is 2.75 states/eV per cell.

Geometry as CIF:
```
data_POsAu2
_chemical_formula_sum 'P1 Os1 Au2'
_cell_length_a 4.594
_cell_length_b 4.594
_cell_length_c 4.594
_cell_angle_alpha 123.62
_cell_angle_beta 123.62
_cell_angle_gamma 83.84
_symmetry_space_group_name_H-M 'P 1'
_symmetry_Int_Tables_number 1
_symmetry_space_group_name_Hall 'P 1'
loop_
_atom_site_label
_atom_site_type_symbol
_atom_site_fract_x
_atom_site_fract_y
_atom_site_fract_z
P1 P 0.750 0.250 0.500
Os1 Os 0.500 0.500 0.000
Au1 Au 0.000 0.000 0.000
Au2 Au 0.250 0.750 0.500
```